VASP calculation (PBE) on an optimized crystal structure of Ag2BPb.

a b c (Å): 4.769 4.769 4.769
angles (deg): 60.00 60.00 60.00
Fractional coordinates of all 4 atoms:
1 B 0.000 0.000 0.000
2 Ag 0.250 0.250 0.250
3 Ag 0.750 0.750 0.750
4 Pb 0.500 0.500 0.500

Output
formation energy = 1.01 eV/atom
total magnetic moment = 0.0 μB/f.u.
total energy = -3.0149 eV per atom
energy above the most stable polymorph in this dataset = 227 meV per atom
D(E_F) = 2.458 states/eV/f.u.

VASP calculation (PBE) on an optimized crystal structure of K4AlRh.

a b c (Å): 6.658 6.658 6.658
angles (deg): 60.00 60.00 60.00
Fractional coordinates of all 6 atoms:
1 Al 0.000 0.000 0.000
2 K 0.376 0.872 0.376
3 K 0.872 0.376 0.376
4 K 0.376 0.376 0.376
5 K 0.376 0.376 0.872
6 Rh 0.750 0.750 0.750

Output
formation energy = 0.89 eV/atom
total magnetic moment = 0.0 μB/f.u.
total energy = -1.6936 eV per atom
D(E_F) = 5.295 states/eV/f.u.

VASP calculation (PBE) on an optimized crystal structure of Th4Ga2Os.

a b c (Å): 7.911 7.888 7.887
angles (deg): 111.22 111.39 105.74
Fractional coordinates of all 14 atoms:
1 Th 0.882 0.645 0.635
2 Th 0.496 0.760 0.864
3 Th 0.368 0.503 0.263
4 Th 0.754 0.118 0.764
5 Th 0.894 0.633 0.134
6 Th 0.240 0.105 0.738
7 Th 0.010 0.247 0.364
8 Th 0.356 0.990 0.239
9 Os 0.000 0.999 0.000
10 Os 0.250 0.750 0.499
11 Ga 0.625 0.274 0.149
12 Ga 0.125 0.476 0.851
13 Ga 0.727 0.875 0.352
14 Ga 0.523 0.375 0.649

Output
formation energy = -0.32 eV/atom
total magnetic moment = 0.0 μB/f.u.
total energy = -7.0244 eV per atom
D(E_F) = 8.282 states/eV/f.u.

VASP calculation (PBE) on an optimized crystal structure of AsIrSe3.

a b c (Å): 4.916 4.916 4.916
angles (deg): 90.00 90.00 90.00
Site moments in Bohr magnetons follow the coordinates.
Fractional coordinates of all 5 atoms:
1 Se 0.000 0.000 0.500  0.13
2 Se 0.000 0.500 0.000  0.15
3 Se 0.500 0.000 0.000  0.09
4 Ir 0.500 0.500 0.500  1.70
5 As 0.000 0.000 0.000  0.01

Output
raw formation energy = 1307 meV/atom
total magnetic moment = 2.3 μB/f.u.
total energy = -3.4859 eV per atom
energy above the most stable polymorph in this dataset = 633 meV per atom
D(E_F) = 6.683 states/eV/f.u.

VASP calculation (PBE) on an optimized crystal structure of AcPuSnO6.

a b c (Å): 5.605 5.605 10.790
angles (deg): 90.00 90.00 120.00
Site moments in Bohr magnetons follow the coordinates.
Fractional coordinates of all 18 atoms:
1 O 0.634 0.994 0.357  -0.06
2 O 0.360 0.366 0.357  -0.06
3 O 0.366 0.006 0.643  -0.06
4 O 0.360 0.994 0.143  -0.06
5 O 0.640 0.634 0.643  -0.06
6 O 0.994 0.634 0.857  -0.06
7 O 0.006 0.366 0.143  -0.06
8 O 0.994 0.360 0.643  -0.06
9 O 0.006 0.640 0.357  -0.06
10 O 0.634 0.640 0.143  -0.06
11 O 0.366 0.360 0.857  -0.06
12 O 0.640 0.006 0.857  -0.06
13 Pu 0.667 0.333 0.250  3.37
14 Pu 0.333 0.667 0.750  3.37
15 Sn 0.333 0.667 0.250  0.02
16 Sn 0.667 0.333 0.750  0.02
17 Ac 0.000 0.000 0.000  -0.01
18 Ac 0.000 0.000 0.500  -0.01

Output
raw formation energy = -2565 meV/atom
total magnetic moment = 3.0 μB/f.u.
total energy = -8.3637 eV per atom
D(E_F) = 9.122 states/eV/f.u.

VASP calculation (PBE) on an optimized crystal structure of InTeOs2.

a b c (Å): 2.957 2.957 8.936
angles (deg): 90.00 90.00 90.00
Fractional coordinates of all 4 atoms:
1 Os 0.000 0.000 0.035
2 Os 0.500 0.500 0.213
3 In 0.500 0.500 0.798
4 Te 0.000 0.000 0.454

Output
raw formation energy = 486 meV/atom
total magnetic moment = 0.0 μB/f.u.
total energy = -6.5992 eV per atom
energy above the most stable polymorph in this dataset = 90 meV per atom
D(E_F) = 2.119 states/eV/f.u.

VASP calculation (PBE) on an optimized crystal structure of TiB3S.

a b c (Å): 4.278 4.278 4.278
angles (deg): 90.00 90.00 90.00
Fractional coordinates of all 5 atoms:
1 Ti 0.000 0.000 0.000
2 B 0.500 0.000 0.000
3 B 0.000 0.000 0.500
4 B 0.000 0.500 0.000
5 S 0.500 0.500 0.500

Output
raw formation energy = 1993 meV/atom
total magnetic moment = 0.0 μB/f.u.
total energy = -4.4183 eV per atom
energy above the most stable polymorph in this dataset = 645 meV per atom
D(E_F) = 3.650 states/eV/f.u.

VASP calculation (PBE) on an optimized crystal structure of NbTl2I.

a b c (Å): 4.425 4.425 12.390
angles (deg): 79.71 79.71 90.00
Site moments in Bohr magnetons follow the coordinates.
Fractional coordinates of all 8 atoms:
1 I 0.750 0.250 0.500  0.01
2 I 0.000 0.000 0.000  0.01
3 Tl 0.134 0.625 0.250  -0.01
4 Tl 0.616 0.125 0.250  -0.01
5 Tl 0.875 0.866 0.750  0.00
6 Tl 0.375 0.384 0.750  0.01
7 Nb 0.500 0.500 0.000  2.45
8 Nb 0.250 0.750 0.500  2.43

Output
raw formation energy = 686 meV/atom
total magnetic moment = 3.1 μB/f.u.
total energy = -3.4017 eV per atom
energy above the most stable polymorph in this dataset = 0 meV per atom
D(E_F) = 2.744 states/eV/f.u.

VASP calculation (PBE) on an optimized crystal structure of ZrInCl2.

a b c (Å): 8.886 8.886 8.886
angles (deg): 159.51 150.72 36.00
Fractional coordinates of all 4 atoms:
1 Cl 0.757 0.257 0.500
2 Cl 0.111 0.111 0.000
3 Zr 0.230 0.730 0.500
4 In 0.401 0.401 0.000

Output
raw formation energy = -696 meV/atom
total magnetic moment = 0.0 μB/f.u.
total energy = -4.4409 eV per atom
energy above the most stable polymorph in this dataset = 349 meV per atom
D(E_F) = 3.399 states/eV/f.u.

VASP calculation (PBE) on an optimized crystal structure of Ce2SiNi12H3.

a b c (Å): 6.761 6.761 6.761
angles (deg): 58.04 58.04 58.04
Fractional coordinates of all 18 atoms:
1 Ni 0.570 0.135 0.135
2 Ni 0.135 0.135 0.570
3 Ni 0.865 0.865 0.430
4 Ni 0.865 0.430 0.865
5 Ni 0.909 0.283 0.283
6 Ni 0.283 0.909 0.283
7 Ni 0.430 0.865 0.865
8 Ni 0.717 0.091 0.717
9 Ni 0.091 0.717 0.717
10 Ni 0.283 0.283 0.909
11 Ni 0.135 0.570 0.135
12 Ni 0.717 0.717 0.091
13 H 0.000 0.500 0.000
14 H 0.500 0.000 0.000
15 H 0.000 0.000 0.500
16 Ce 0.399 0.399 0.399
17 Ce 0.601 0.601 0.601
18 Si 0.000 0.000 0.000

Output
total magnetic moment = 0.0 μB/f.u.
total energy = -5.5328 eV per atom
D(E_F) = 12.540 states/eV/f.u.

VASP calculation (PBE) on an optimized crystal structure of TlTePdI2.

a b c (Å): 5.651 5.651 5.312
angles (deg): 90.00 90.00 90.00
Site moments in Bohr magnetons follow the coordinates.
Fractional coordinates of all 5 atoms:
1 Tl 0.500 0.500 0.500  0.00
2 I 0.000 0.500 0.000  0.01
3 I 0.500 0.000 0.000  0.01
4 Te 0.000 0.000 0.500  0.06
5 Pd 0.000 0.000 0.000  0.02

Output
raw formation energy = -147 meV/atom
total magnetic moment = 0.2 μB/f.u.
total energy = -2.9071 eV per atom
energy above the most stable polymorph in this dataset = 0 meV per atom
D(E_F) = 5.500 states/eV/f.u.

VASP calculation (PBE) on an optimized crystal structure of Ca2MgCd16.

a b c (Å): 7.726 7.726 7.726
angles (deg): 82.47 82.47 82.47
Fractional coordinates of all 19 atoms:
1 Ca 0.663 0.663 0.663
2 Ca 0.339 0.339 0.339
3 Cd 0.110 0.110 0.110
4 Cd 0.360 0.360 0.834
5 Cd 0.700 0.298 0.999
6 Cd 0.360 0.834 0.360
7 Cd 0.298 0.700 0.999
8 Cd 0.502 0.997 0.997
9 Cd 0.997 0.997 0.502
10 Cd 0.298 0.999 0.700
11 Cd 0.999 0.700 0.298
12 Cd 0.700 0.999 0.298
13 Cd 0.834 0.360 0.360
14 Cd 0.997 0.502 0.997
15 Cd 0.999 0.298 0.700
16 Cd 0.642 0.642 0.154
17 Cd 0.642 0.154 0.642
18 Cd 0.154 0.642 0.642
19 Mg 0.905 0.905 0.905

Output
formation energy = -0.13 eV/atom
total magnetic moment = 0.0 μB/f.u.
total energy = -1.1996 eV per atom
D(E_F) = 6.411 states/eV/f.u.

VASP calculation (PBE) on an optimized crystal structure of K3SrCd.

a b c (Å): 6.805 6.805 6.805
angles (deg): 90.00 90.00 90.00
Fractional coordinates of all 5 atoms:
1 K 0.000 0.000 0.500
2 K 0.500 0.000 0.000
3 K 0.000 0.500 0.000
4 Cd 0.000 0.000 0.000
5 Sr 0.500 0.500 0.500

Output
formation energy = 0.16 eV/atom
total magnetic moment = 0.0 μB/f.u.
total energy = -1.0223 eV per atom
energy above the most stable polymorph in this dataset = 0 meV per atom
D(E_F) = 3.460 states/eV/f.u.

VASP calculation (PBE) on an optimized crystal structure of TaHgP2.

a b c (Å): 2.930 2.930 10.080
angles (deg): 90.00 90.00 105.69
Fractional coordinates of all 4 atoms:
1 Ta 0.500 0.500 0.250
2 Hg 0.500 0.500 0.750
3 P 0.000 0.000 0.070
4 P 0.000 0.000 0.430

Output
formation energy = -0.03 eV/atom
total magnetic moment = 0.0 μB/f.u.
total energy = -5.7745 eV per atom
D(E_F) = 1.959 states/eV/f.u.

VASP calculation (PBE) on an optimized crystal structure of BaV2Hg2.

a b c (Å): 3.501 3.501 10.021
angles (deg): 79.94 79.94 90.00
Fractional coordinates of all 5 atoms:
1 Ba 0.000 0.000 0.000
2 V 0.250 0.750 0.500
3 V 0.750 0.250 0.500
4 Hg 0.371 0.371 0.257
5 Hg 0.629 0.629 0.743

Output
formation energy = 0.31 eV/atom
total magnetic moment = 0.0 μB/f.u.
total energy = -3.8454 eV per atom
energy above the most stable polymorph in this dataset = 0 meV per atom
D(E_F) = 6.685 states/eV/f.u.

VASP calculation (PBE) on an optimized crystal structure of Sm12HgRu6.

a b c (Å): 8.686 8.686 8.686
angles (deg): 109.47 109.47 109.47
Fractional coordinates of all 19 atoms:
1 Ru 0.878 0.378 0.500
2 Ru 0.500 0.122 0.622
3 Ru 0.122 0.622 0.500
4 Ru 0.500 0.878 0.378
5 Ru 0.378 0.500 0.878
6 Ru 0.622 0.500 0.122
7 Sm 0.298 0.101 0.803
8 Sm 0.702 0.899 0.197
9 Sm 0.702 0.506 0.803
10 Sm 0.197 0.702 0.899
11 Sm 0.494 0.197 0.298
12 Sm 0.197 0.298 0.494
13 Sm 0.101 0.803 0.298
14 Sm 0.899 0.197 0.702
15 Sm 0.803 0.298 0.101
16 Sm 0.803 0.702 0.506
17 Sm 0.506 0.803 0.702
18 Sm 0.298 0.494 0.197
19 Hg 0.000 0.000 0.000

Output
formation energy = -0.22 eV/atom
total magnetic moment = 0.0 μB/f.u.
total energy = -6.1506 eV per atom
D(E_F) = 16.907 states/eV/f.u.

VASP calculation (PBE) on an optimized crystal structure of NaSn.

a b c (Å): 11.464 11.464 11.464
angles (deg): 125.83 125.83 80.17
Fractional coordinates of all 32 atoms:
1 Sn 0.243 0.939 0.559
2 Sn 0.743 0.184 0.304
3 Sn 0.869 0.811 0.804
4 Sn 0.881 0.439 0.696
5 Sn 0.689 0.631 0.196
6 Sn 0.061 0.619 0.304
7 Sn 0.934 0.131 0.941
8 Sn 0.369 0.566 0.059
9 Sn 0.434 0.493 0.804
10 Sn 0.381 0.684 0.441
11 Sn 0.507 0.311 0.941
12 Sn 0.561 0.257 0.441
13 Sn 0.189 0.993 0.059
14 Sn 0.316 0.757 0.696
15 Sn 0.007 0.066 0.196
16 Sn 0.816 0.119 0.559
17 Na 0.625 0.997 0.872
18 Na 0.625 0.497 0.372
19 Na 0.747 0.375 0.872
20 Na 0.127 0.627 0.755
21 Na 0.627 0.873 0.500
22 Na 0.377 0.123 0.000
23 Na 0.247 0.375 0.372
24 Na 0.125 0.253 0.628
25 Na 0.873 0.373 0.245
26 Na 0.373 0.127 0.500
27 Na 0.123 0.377 0.000
28 Na 0.003 0.875 0.628
29 Na 0.503 0.875 0.128
30 Na 0.877 0.877 0.255
31 Na 0.125 0.753 0.128
32 Na 0.623 0.623 0.745

Output
formation energy = -0.22 eV/atom
total magnetic moment = 0.0 μB/f.u.
total energy = -2.8823 eV per atom

VASP calculation (PBE) on an optimized crystal structure of LiTa2Ir.

a b c (Å): 4.614 4.614 4.614
angles (deg): 125.01 125.01 81.53
Fractional coordinates of all 4 atoms:
1 Ta 0.500 0.500 0.000
2 Ta 0.000 0.000 0.000
3 Li 0.750 0.250 0.500
4 Ir 0.250 0.750 0.500

Output
formation energy = -0.05 eV/atom
total magnetic moment = 0.0 μB/f.u.
total energy = -8.6681 eV per atom
D(E_F) = 3.771 states/eV/f.u.

VASP calculation (PBE) on an optimized crystal structure of Rb3Zn2Br2F5.

a b c (Å): 4.487 4.487 12.557
angles (deg): 100.29 100.29 90.00
Fractional coordinates of all 12 atoms:
1 F 0.581 0.081 0.161
2 F 0.081 0.581 0.161
3 F 0.919 0.419 0.839
4 F 0.419 0.919 0.839
5 F 0.500 0.500 0.000
6 Rb 0.842 0.842 0.684
7 Rb 0.000 0.000 0.000
8 Rb 0.158 0.158 0.316
9 Br 0.313 0.313 0.627
10 Br 0.687 0.687 0.373
11 Zn 0.583 0.583 0.166
12 Zn 0.417 0.417 0.834

Output
raw formation energy = -2168 meV/atom
total magnetic moment = 0.0 μB/f.u.
total energy = -3.6803 eV per atom
D(E_F) = 0.000 states/eV/f.u.

VASP calculation (PBE) on an optimized crystal structure of YZrSi3.

a b c (Å): 5.028 5.028 5.028
angles (deg): 90.00 90.00 90.00
Fractional coordinates of all 5 atoms:
1 Y 0.000 0.000 0.000
2 Si 0.500 0.000 0.000
3 Si 0.000 0.000 0.500
4 Si 0.000 0.500 0.000
5 Zr 0.500 0.500 0.500

Output
raw formation energy = 1083 meV/atom
total magnetic moment = 0.0 μB/f.u.
total energy = -5.1736 eV per atom
energy above the most stable polymorph in this dataset = 820 meV per atom
D(E_F) = 6.900 states/eV/f.u.

VASP calculation (PBE) on an optimized crystal structure of TmPaRu.

a b c (Å): 3.499 3.499 5.993
angles (deg): 106.97 106.97 90.00
Fractional coordinates of all 3 atoms:
1 Ru 0.691 0.691 0.383
2 Pa 0.304 0.304 0.607
3 Tm 0.005 0.005 0.010

Output
formation energy = -0.32 eV/atom
total magnetic moment = 0.0 μB/f.u.
total energy = -8.0706 eV per atom
energy above the most stable polymorph in this dataset = 0 meV per atom
D(E_F) = 2.981 states/eV/f.u.

VASP calculation (PBE) on an optimized crystal structure of CeGaCl6.

a b c (Å): 6.900 6.900 6.449
angles (deg): 97.40 97.40 123.81
Site moments in Bohr magnetons follow the coordinates.
Fractional coordinates of all 8 atoms:
1 Cl 0.427 0.148 0.280  0.00
2 Cl 0.852 0.573 0.720  0.00
3 Cl 0.741 0.741 0.267  -0.01
4 Cl 0.573 0.852 0.720  0.00
5 Cl 0.148 0.427 0.280  0.00
6 Cl 0.259 0.259 0.733  -0.01
7 Ce 0.000 0.000 0.000  0.94
8 Ga 0.500 0.500 0.500  0.03

Output
raw formation energy = -1557 meV/atom
total magnetic moment = 1.0 μB/f.u.
total energy = -4.0616 eV per atom
D(E_F) = 5.400 states/eV/f.u.

VASP calculation (PBE) on an optimized crystal structure of MgTiCr2In.

a b c (Å): 5.080 5.191 5.080
angles (deg): 90.00 90.00 90.00
Site moments in Bohr magnetons follow the coordinates.
Fractional coordinates of all 5 atoms:
1 Cr 0.000 0.000 0.500  3.91
2 Cr 0.500 0.000 0.000  3.76
3 Ti 0.000 0.500 0.000  -1.57
4 In 0.000 0.000 0.000  -0.07
5 Mg 0.500 0.500 0.500  -0.02

Output
formation energy = 1.25 eV/atom
total magnetic moment = 6.5 μB/f.u.
total energy = -5.0439 eV per atom
D(E_F) = 3.961 states/eV/f.u.